Record 1
# MnFeCo2

A geometry-optimized MnFeCo2 structure (GGA-PBE, Alexandria via LeMat-Bulk).

Output
The formation energy comes out at 0.065 eV per atom. The energy above the most stable polymorph in this dataset comes out at 108 meV per atom. The space-group type is Pmmm (47). The value obtained for the size of the total moment is 8.644 μB per formula unit.

```
MnFeCo2
1.0
2.8170 0.0000 0.0000
0.0000 4.0214 0.0000
0.0000 0.0000 4.0789
Mn Fe Co
1 1 2
Direct
0.0000 0.0000 0.0000
0.5000 0.0000 0.5000
0.0000 0.5000 0.5000
0.5000 0.5000 0.0000
```

Record 2
# Mn8FeCo2

A geometry-optimized Mn8FeCo2 structure (GGA-PBE, Alexandria via LeMat-Bulk).

Output
The formation energy comes out at 0.280 eV per atom. The space-group type is C2/m (12). The value obtained for the size of the total moment is 1.177 μB per formula unit.

```
Mn8FeCo2
1.0
3.1268 -5.8482 0.0000
3.1268 5.8482 0.0000
-2.0895 0.0000 3.4916
Mn Fe Co
8 1 2
Direct
0.1042 0.3341 0.6660
0.2066 0.7934 0.0000
0.3341 0.1042 0.6660
0.4020 0.4020 0.2049
0.5980 0.5980 0.7951
0.6659 0.8958 0.3340
0.7934 0.2066 0.0000
0.8958 0.6659 0.3340
0.0000 0.0000 0.0000
0.3068 0.6932 0.5000
0.6932 0.3068 0.5000
```

Record 3
# MnFeCo2

A geometry-optimized MnFeCo2 structure (GGA-PBE, Alexandria via LeMat-Bulk).

Output
The formation energy comes out at 0.087 eV per atom. The energy above the most stable polymorph in this dataset comes out at 131 meV per atom. The space-group type is F-43m (216). The value obtained for the size of the total moment is 8.835 μB per formula unit.

```
MnFeCo2
1.0
0.0000 2.8536 2.8536
2.8536 0.0000 2.8536
2.8536 2.8536 0.0000
Mn Fe Co
1 1 2
Direct
0.0000 0.0000 0.0000
0.2500 0.2500 0.2500
0.5000 0.5000 0.5000
0.7500 0.7500 0.7500
```

Record 4
# MnFe4Co

A geometry-optimized MnFe4Co structure (GGA-PBE, Alexandria via LeMat-Bulk).

Output
The formation energy comes out at 0.176 eV per atom. The energy above the most stable polymorph in this dataset comes out at 42 meV per atom. The space-group type is C2/c (15). The value obtained for the size of the total moment is 6.703 μB per formula unit.

```
MnFe4Co
1.0
3.1092 -5.4373 0.0000
3.1092 5.4373 0.0000
-1.8921 0.0000 4.2172
Mn Fe Co
2 8 2
Direct
0.0803 0.9197 0.7500
0.9197 0.0803 0.2500
0.0794 0.3392 0.8863
0.2015 0.5985 0.4539
0.3392 0.0794 0.3863
0.4015 0.7985 0.0461
0.5985 0.2015 0.9539
0.6608 0.9206 0.6137
0.7985 0.4015 0.5461
0.9206 0.6608 0.1137
0.4930 0.5070 0.7500
0.5070 0.4930 0.2500
```